Record 1
Compound: YCdO2F
Source: Alexandria
Functional: PBE
Structure: optimized geometry

Computed properties:
Its symmetry is P4/mmm. The value obtained for the size of the total moment is 0.00 μB per formula unit. The energy relative to the elements, uncorrected is -2.12 eV per atom. The crystal system is tetragonal.

Structure (POSCAR):
```
YCdO2F
1.0
4.4379 0.0000 0.0000
0.0000 4.4379 0.0000
0.0000 0.0000 4.2634
Y Cd O F
1 1 2 1
Direct
0.0000 0.0000 0.0000
0.5000 0.5000 0.5000
0.0000 0.5000 0.0000
0.5000 0.0000 0.0000
0.0000 0.0000 0.5000
```

Record 2
Compound: Ba8Ag2H
Source: Alexandria
Functional: PBE
Structure: optimized geometry

Computed properties:
Its symmetry is C2/m. The value obtained for the size of the total moment is 0.00 μB per formula unit. The crystal system is monoclinic.

Structure (POSCAR):
```
Ba8Ag2H
1.0
7.0249 -5.1921 0.0000
7.0249 5.1921 0.0000
-2.2469 0.0000 7.3138
Ba Ag H
8 2 1
Direct
0.0841 0.0841 0.2824
0.1568 0.5667 0.2542
0.3726 0.3726 0.7400
0.4333 0.8432 0.7458
0.5667 0.1568 0.2542
0.6274 0.6274 0.2600
0.8432 0.4333 0.7458
0.9159 0.9159 0.7176
0.1891 0.1891 0.9413
0.8109 0.8109 0.0587
0.5000 0.5000 0.5000
```

Raw total energy, respectively: -5.953; -2.337 eV per atom.